# 1
ErBW | PBE | relaxed

Lattice parameters (Å, degrees): 4.4662 4.4662 4.4662 60.00 60.00 60.00
Fractional coordinates of all 3 atoms:
B  0.2500  0.2500  0.2500
Er  0.0000  0.0000  0.0000
W  0.7500  0.7500  0.7500

Results
ΔE to the lowest computed polymorph in meV per atom: 1716

***

# 2
ErB4W | PBE | relaxed

Lattice parameters (Å, degrees): 6.0076 11.6058 3.6074 90.00 90.00 90.00
Fractional coordinates of all 24 atoms:
B  0.8669  0.0321  0.5000
B  0.3854  0.0477  0.5000
B  0.7873  0.1869  0.5000
B  0.4759  0.1938  0.5000
B  0.9759  0.3062  0.5000
B  0.2873  0.3131  0.5000
B  0.8854  0.4523  0.5000
B  0.3669  0.4679  0.5000
B  0.6331  0.5322  0.5000
B  0.1146  0.5477  0.5000
B  0.7127  0.6869  0.5000
B  0.0241  0.6938  0.5000
B  0.5241  0.8062  0.5000
B  0.2127  0.8131  0.5000
B  0.6146  0.9523  0.5000
B  0.1331  0.9678  0.5000
Er  0.1269  0.1494  0.0000
Er  0.6269  0.3506  0.0000
Er  0.3731  0.6494  0.0000
Er  0.8731  0.8506  0.0000
W  0.6312  0.0848  0.0000
W  0.1312  0.4152  0.0000
W  0.8688  0.5848  0.0000
W  0.3688  0.9152  0.0000

Results
ΔE to the lowest computed polymorph in meV per atom: 0

***

# 3
ErB4W | PBE | relaxed

Lattice parameters (Å, degrees): 3.1193 3.1193 7.0692 90.00 90.00 120.00
Fractional coordinates of all 6 atoms:
B  0.6667  0.3333  0.2712
B  0.3333  0.6667  0.2712
B  0.6667  0.3333  0.7288
B  0.3333  0.6667  0.7288
Er  0.0000  0.0000  0.0000
W  0.0000  0.0000  0.5000

Results
ΔE to the lowest computed polymorph in meV per atom: 108

***

# 4
ErB4W | PBE | relaxed

Lattice parameters (Å, degrees): 4.6800 4.6800 4.6800 140.65 109.37 83.98
Fractional coordinates of all 6 atoms:
B  0.5852  0.2485  0.3368
B  0.0883  0.7515  0.3368
B  0.9117  0.2485  0.6632
B  0.4148  0.7515  0.6632
Er  0.0000  0.0000  0.0000
W  0.5000  0.5000  0.0000

Results
ΔE to the lowest computed polymorph in meV per atom: 141

***

# 5
Gd4BF5 | PBE | relaxed

Lattice parameters (Å, degrees): 7.5927 7.5927 6.8519 115.31 115.31 27.68
Fractional coordinates of all 10 atoms:
B  0.4985  0.4985  0.9983
F  0.8154  0.8154  0.0511
F  0.1776  0.1776  0.4179
F  0.4983  0.4983  0.4982
F  0.8194  0.8194  0.5786
F  0.1817  0.1817  0.9456
Gd  0.6834  0.6834  0.1858
Gd  0.9950  0.9950  0.2413
Gd  0.0020  0.0020  0.7553
Gd  0.3136  0.3136  0.8108

Results
Electronic total energy in eV for the cell shown: -60.77

***

# 6
Gd3B2O6F3 | PBE | relaxed

Lattice parameters (Å, degrees): 6.1477 6.9627 8.2415 96.64 90.00 116.20
Fractional coordinates of all 28 atoms:
B  0.0893  0.3605  0.0214
B  0.7288  0.6395  0.4786
B  0.2712  0.3605  0.5214
B  0.9107  0.6395  0.9786
F  0.2293  0.1020  0.0383
F  0.5157  0.0000  0.2500
F  0.1273  0.8980  0.4617
F  0.8727  0.1020  0.5383
F  0.4843  0.0000  0.7500
F  0.7707  0.8980  0.9617
Gd  0.5696  0.3546  0.1783
Gd  0.8960  0.0000  0.2500
Gd  0.2150  0.6454  0.3217
Gd  0.7850  0.3546  0.6783
Gd  0.1040  0.0000  0.7500
Gd  0.4304  0.6454  0.8217
O  0.3193  0.5245  0.0756
O  0.9177  0.2996  0.1366
O  0.9540  0.7037  0.1447
O  0.2502  0.2963  0.3553
O  0.6182  0.7004  0.3634
O  0.7948  0.4755  0.4244
O  0.2052  0.5245  0.5756
O  0.3818  0.2996  0.6366
O  0.7498  0.7037  0.6447
O  0.0460  0.2963  0.8553
O  0.0823  0.7004  0.8634
O  0.6807  0.4755  0.9244

Results
Electronic total energy in eV for the cell shown: -219.95

***

# 7
HgB2F8 | PBE | relaxed

Lattice parameters (Å, degrees): 5.0857 5.0857 5.5820 107.60 107.60 56.10
Fractional coordinates of all 11 atoms:
B  0.7945  0.7945  0.3117
B  0.2055  0.2055  0.6883
F  0.6301  0.6301  0.1907
F  0.6285  0.0997  0.2380
F  0.0997  0.6285  0.2380
F  0.1713  0.1713  0.4246
F  0.8287  0.8287  0.5754
F  0.9003  0.3715  0.7620
F  0.3715  0.9003  0.7620
F  0.3699  0.3699  0.8093
Hg  0.0000  0.0000  0.0000

Results
Electronic total energy in eV for the cell shown: -54.63

***

# 8
Nd2B3F | PBE | relaxed

Lattice parameters (Å, degrees): 4.9122 4.9122 4.5839 90.00 90.00 120.35
Fractional coordinates of all 6 atoms:
B  0.5000  0.0000  0.0000
B  0.0000  0.5000  0.0000
B  0.5000  0.5000  0.0000
F  0.0000  0.0000  0.5000
Nd  0.6662  0.3338  0.5000
Nd  0.3338  0.6662  0.5000

Results
Electronic total energy in eV for the cell shown: -27.67

***

# 9
Nd4B4O11F2 | PBE | relaxed

Lattice parameters (Å, degrees): 7.2838 7.2838 13.8982 91.15 91.15 37.58
Fractional coordinates of all 42 atoms:
B  0.0457  0.1427  0.0264
B  0.1122  0.0732  0.2146
B  0.9268  0.8878  0.2854
B  0.8573  0.9543  0.4736
B  0.1427  0.0457  0.5264
B  0.0732  0.1122  0.7146
B  0.8878  0.9268  0.7854
B  0.9543  0.8573  0.9736
F  0.2476  0.2908  0.0748
F  0.7092  0.7524  0.4252
F  0.2908  0.2476  0.5748
F  0.7524  0.7092  0.9252
Nd  0.6992  0.7433  0.1278
Nd  0.4169  0.4662  0.1296
Nd  0.5338  0.5831  0.3704
Nd  0.2567  0.3008  0.3722
Nd  0.7433  0.6992  0.6278
Nd  0.4662  0.4169  0.6296
Nd  0.5831  0.5338  0.8704
Nd  0.3008  0.2567  0.8722
O  0.7436  0.4165  0.0368
O  0.8315  0.9437  0.0633
O  0.2143  0.9596  0.1069
O  0.8200  0.3802  0.2251
O  0.0107  0.6447  0.2428
O  0.1439  0.8561  0.2500
O  0.3553  0.9893  0.2572
O  0.6198  0.1800  0.2749
O  0.0404  0.7857  0.3931
O  0.0563  0.1685  0.4367
O  0.5835  0.2564  0.4632
O  0.4165  0.7436  0.5368
O  0.9437  0.8315  0.5633
O  0.9596  0.2143  0.6069
O  0.3802  0.8200  0.7251
O  0.6447  0.0107  0.7428
O  0.8561  0.1439  0.7500
O  0.9893  0.3553  0.7572
O  0.1800  0.6198  0.7749
O  0.7857  0.0404  0.8931
O  0.1685  0.0563  0.9367
O  0.2564  0.5835  0.9632

Results
Electronic total energy in eV for the cell shown: -339.00

***

# 10
NdB3XeF14 | PBE | relaxed

Lattice parameters (Å, degrees): 9.2246 5.5464 10.3066 90.00 104.89 90.00
Fractional coordinates of all 38 atoms:
B  0.8227  0.7500  0.0073
B  0.2227  0.7500  0.2973
B  0.8347  0.7500  0.4088
B  0.1653  0.2500  0.5912
B  0.7773  0.2500  0.7027
B  0.1773  0.2500  0.9927
F  0.0358  0.2500  0.0260
F  0.8219  0.5440  0.0884
F  0.8219  0.9560  0.0884
F  0.2977  0.2500  0.0997
F  0.6982  0.2500  0.2054
F  0.1432  0.5439  0.2262
F  0.1432  0.9561  0.2262
F  0.3672  0.7500  0.2870
F  0.6894  0.7500  0.3351
F  0.9110  0.5435  0.3765
F  0.9110  0.9565  0.3765
F  0.2041  0.7500  0.4253
F  0.1442  0.2500  0.4509
F  0.4110  0.2500  0.4533
F  0.5890  0.7500  0.5467
F  0.8558  0.7500  0.5491
F  0.7959  0.2500  0.5747
F  0.0890  0.0435  0.6235
F  0.0890  0.4565  0.6235
F  0.3106  0.2500  0.6649
F  0.6328  0.2500  0.7130
F  0.8568  0.0439  0.7738
F  0.8568  0.4561  0.7738
F  0.3018  0.7500  0.7946
F  0.7023  0.7500  0.9003
F  0.1781  0.0440  0.9116
F  0.1781  0.4560  0.9116
F  0.9642  0.7500  0.9740
Nd  0.9613  0.2500  0.2326
Nd  0.0387  0.7500  0.7674
Xe  0.5484  0.2500  0.3309
Xe  0.4516  0.7500  0.6691

Results
Electronic total energy in eV for the cell shown: -204.78

***

# 11
Pr4B4O11F2 | PBE | relaxed

Lattice parameters (Å, degrees): 7.3353 7.3353 13.9687 91.12 91.12 37.52
Fractional coordinates of all 42 atoms:
B  0.0449  0.1430  0.0272
B  0.1115  0.0735  0.2148
B  0.9265  0.8885  0.2852
B  0.8570  0.9551  0.4728
B  0.1430  0.0449  0.5272
B  0.0735  0.1115  0.7148
B  0.8885  0.9265  0.7852
B  0.9551  0.8570  0.9728
F  0.2483  0.2904  0.0741
F  0.7096  0.7517  0.4259
F  0.2904  0.2483  0.5741
F  0.7517  0.7096  0.9259
O  0.7441  0.4160  0.0373
O  0.8324  0.9437  0.0621
O  0.2124  0.9616  0.1074
O  0.8219  0.3792  0.2254
O  0.0114  0.6462  0.2426
O  0.1408  0.8592  0.2500
O  0.3538  0.9886  0.2574
O  0.6208  0.1781  0.2746
O  0.0384  0.7876  0.3926
O  0.0563  0.1676  0.4379
O  0.5840  0.2559  0.4627
O  0.4160  0.7441  0.5373
O  0.9437  0.8324  0.5621
O  0.9616  0.2124  0.6074
O  0.3792  0.8219  0.7254
O  0.6462  0.0114  0.7426
O  0.8592  0.1408  0.7500
O  0.9886  0.3538  0.7574
O  0.1781  0.6208  0.7746
O  0.7876  0.0384  0.8926
O  0.1676  0.0563  0.9379
O  0.2559  0.5840  0.9627
Pr  0.6992  0.7440  0.1274
Pr  0.4168  0.4665  0.1295
Pr  0.5335  0.5832  0.3705
Pr  0.2560  0.3008  0.3726
Pr  0.7440  0.6992  0.6274
Pr  0.4665  0.4168  0.6295
Pr  0.5832  0.5335  0.8705
Pr  0.3008  0.2560  0.8726

Results
Electronic total energy in eV for the cell shown: -338.67

***

# 12
Tb4B4O11F2 | PBE | relaxed

Lattice parameters (Å, degrees): 7.0822 7.0822 13.5878 91.27 91.27 37.85
Fractional coordinates of all 42 atoms:
B  0.1398  0.0514  0.0229
B  0.0695  0.1180  0.2134
B  0.8820  0.9305  0.2866
B  0.9486  0.8602  0.4771
B  0.0514  0.1398  0.5229
B  0.1180  0.0695  0.7134
B  0.9305  0.8820  0.7866
B  0.8602  0.9486  0.9771
F  0.2938  0.2438  0.0756
F  0.7562  0.7062  0.4244
F  0.2438  0.2938  0.5756
F  0.7062  0.7562  0.9244
O  0.4155  0.7428  0.0342
O  0.9455  0.8254  0.0692
O  0.9497  0.2245  0.1044
O  0.3809  0.8160  0.2237
O  0.6372  0.0092  0.2436
O  0.8419  0.1581  0.2500
O  0.9908  0.3628  0.2564
O  0.1840  0.6191  0.2763
O  0.7755  0.0503  0.3956
O  0.1746  0.0545  0.4308
O  0.2572  0.5845  0.4658
O  0.7428  0.4155  0.5342
O  0.8254  0.9455  0.5692
O  0.2245  0.9497  0.6044
O  0.8160  0.3809  0.7237
O  0.0092  0.6372  0.7436
O  0.1581  0.8419  0.7500
O  0.3628  0.9908  0.7564
O  0.6191  0.1840  0.7763
O  0.0503  0.7755  0.8956
O  0.0545  0.1746  0.9308
O  0.5845  0.2572  0.9658
Tb  0.7363  0.7033  0.1293
Tb  0.4607  0.4216  0.1300
Tb  0.5784  0.5393  0.3700
Tb  0.2967  0.2637  0.3707
Tb  0.7033  0.7363  0.6293
Tb  0.4216  0.4607  0.6300
Tb  0.5393  0.5784  0.8700
Tb  0.2637  0.2967  0.8707

Results
Electronic total energy in eV for the cell shown: -339.38

***

Number 1: theoretical density 9.5 g/cm3. Number 2: theoretical density 10.4 g/cm3. Number 3: theoretical density 11.0 g/cm3. Number 4: theoretical density 11.0 g/cm3. Number 5: theoretical density 7.4 g/cm3. Number 6: theoretical density 6.8 g/cm3. Number 7: theoretical density 5.5 g/cm3. Number 8: theoretical density 5.9 g/cm3. Number 9: theoretical density 6.2 g/cm3. Number 10: theoretical density 3.7 g/cm3. Number 11: theoretical density 6.0 g/cm3. Number 12: theoretical density 7.1 g/cm3.